An optimized crystal structure of NiGe2Se. Source: OQMD via LeMat-Bulk, functional PBE-GGA.

abc: 3.5708 5.7750 7.5834
angles: 90.00 90.00 90.00
Closest atoms and distances in Å follow each position.
Space group Pmn2_1 (No. 31)
Symmetry-distinct sites (fractional):
1 Ni 0.0000 0.0834 0.0000 (multiplicity 2)  5 Ge 2.34-2.46, 1 Se 2.38
2 Ge 0.0000 0.6526 0.4028 (multiplicity 2)  2 Ni 2.46, 1 Se 2.73
3 Ge 0.0000 0.9551 0.7078 (multiplicity 2)  3 Ni 2.34-2.39
4 Se 0.0000 0.6755 0.0431 (multiplicity 2)  1 Ni 2.38

E_tot: -36.63 eV per cell


An optimized crystal structure of NiGe4Se3. Source: OQMD via LeMat-Bulk, functional PBE-GGA.

abc: 6.5490 3.6114 7.1378
angles: 90.00 99.14 90.00
Closest atoms and distances in Å follow each position.
Space group Pm (No. 6)
Symmetry-distinct sites (fractional):
1 Ni 0.0000 0.0000 0.0000 (multiplicity 1)  6 Ge 2.42-2.49
2 Ge 0.1246 0.5000 0.8055 (multiplicity 1)  2 Ni 2.49, 1 Se 2.73
3 Ge 0.3055 0.0000 0.2462 (multiplicity 1)  1 Ni 2.44, 2 Se 2.54
4 Ge 0.6887 0.0000 0.7677 (multiplicity 1)  1 Ni 2.42, 3 Se 2.54-2.59
5 Ge 0.8959 0.5000 0.2066 (multiplicity 1)  2 Ni 2.49, 1 Se 2.53
6 Se 0.4492 0.5000 0.6089 (multiplicity 1)  3 Ge 2.54-2.73
7 Se 0.5076 0.5000 0.1050 (multiplicity 1)  3 Ge 2.53-2.54
8 Se 0.9315 0.0000 0.5144 (multiplicity 1)  5 Ge 2.59-2.89

E_tot: -34.89 eV per cell


An optimized crystal structure of Ni2GeSe3. Source: OQMD via LeMat-Bulk, functional PBE-GGA.

abc: 3.5385 12.0021 10.0513
angles: 90.00 90.00 90.00
Closest atoms and distances in Å follow each position.
Space group Cmcm (No. 63)
Symmetry-distinct sites (fractional):
1 Ni 0.0000 0.0000 0.0000 (multiplicity 4)  6 Se 2.39-2.51
2 Ni 0.0000 0.3538 0.2500 (multiplicity 4)  4 Se 2.39-2.47, 2 Ge 2.42
3 Ge 0.0000 0.2843 0.7500 (multiplicity 4)  2 Ni 2.42
4 Se 0.0000 0.0029 0.7500 (multiplicity 4)  4 Ni 2.47-2.51
5 Se 0.0000 0.3662 0.0127 (multiplicity 8)  3 Ni 2.39

E_tot: -109.90 eV per cell


An optimized crystal structure of TlNiGeSe3. Source: OQMD via LeMat-Bulk, functional PBE-GGA.

abc: 8.2331 3.6805 10.0430
angles: 90.00 107.74 90.00
Closest atoms and distances in Å follow each position.
Space group P2_1/m (No. 11)
Symmetry-distinct sites (fractional):
1 Tl 0.2203 0.2500 0.2594 (multiplicity 2)  5 Se 3.25-3.45, 1 Ge 3.29
2 Ni 0.3677 0.7500 0.8481 (multiplicity 2)  6 Se 2.40-2.51
3 Ge 0.1317 0.2500 0.5574 (multiplicity 2)  3 Se 2.48-2.54
4 Se 0.1508 0.2500 0.8090 (multiplicity 2)  1 Ge 2.48, 2 Ni 2.51
5 Se 0.3545 0.7500 0.5953 (multiplicity 2)  1 Ni 2.51, 2 Ge 2.54
6 Se 0.4251 0.7500 0.0971 (multiplicity 2)  3 Ni 2.40-2.46

E_tot: -48.89 eV per cell


Copy entry 1 word for word.
An optimized crystal structure of NiGe2Se. Source: OQMD via LeMat-Bulk, functional PBE-GGA.

abc: 3.5708 5.7750 7.5834
angles: 90.00 90.00 90.00
Closest atoms and distances in Å follow each position.
Space group Pmn2_1 (No. 31)
Symmetry-distinct sites (fractional):
1 Ni 0.0000 0.0834 0.0000 (multiplicity 2)  5 Ge 2.34-2.46, 1 Se 2.38
2 Ge 0.0000 0.6526 0.4028 (multiplicity 2)  2 Ni 2.46, 1 Se 2.73
3 Ge 0.0000 0.9551 0.7078 (multiplicity 2)  3 Ni 2.34-2.39
4 Se 0.0000 0.6755 0.0431 (multiplicity 2)  1 Ni 2.38

E_tot: -36.63 eV per cell


What is the formula in the second record?
NiGe4Se3


Among the records above, which one has the highest E_tot?
NiGe4Se3


What is the E_tot in the second record?
-34.89 eV per cell